This record from Alexandria describes a relaxed YHfNF2 crystal. The functional is PBE.

Unit cell a=4.2175 b=4.2175 c=4.2776 alpha=90.00 beta=90.00 gamma=90.00
Sites, in units of the cell vectors:
Y: 0.0000 0.0000 0.0000
Hf: 0.5000 0.5000 0.5000
N: 0.5000 0.5000 0.0000
F: 0.0000 0.5000 0.5000
F: 0.5000 0.0000 0.5000

Results
Energy above the most stable polymorph in this dataset, meV/atom: 0
N(E_F), states/eV/atom: 0.823
Space group: P4/mmm (123)



This record from Alexandria describes a relaxed YHfNF2 crystal. The functional is PBE.

Unit cell a=4.1614 b=4.1614 c=4.9801 alpha=90.00 beta=90.00 gamma=90.00
Sites, in units of the cell vectors:
Y: 0.0000 0.0000 0.0000
Hf: 0.5000 0.5000 0.5000
N: 0.0000 0.0000 0.5000
F: 0.0000 0.5000 0.0000
F: 0.5000 0.0000 0.0000

Results
Energy above the most stable polymorph in this dataset, meV/atom: 437
N(E_F), states/eV/atom: 0.600
Space group: P4/mmm (123)